Here is crystalline Li5MgRh2 at its relaxed geometry from Alexandria via LeMat-Bulk. Energies are from PBE-GGA.

abc: 5.4651 10.9088 3.8823
angles: 90.00 90.00 90.00
Closest atoms and distances in Å follow each position.
Sites, in units of the cell vectors:
Li1 0.0000 0.0000 0.0000  6 Li 2.67-2.69, 2 Mg 2.73, 4 Rh 2.80
Li2 0.0316 0.2446 0.0000  7 Li 2.67-2.74, 4 Rh 2.70-2.79, 1 Mg 2.79
Li3 0.2230 0.8704 0.5000  6 Li 2.69-2.73, 4 Rh 2.70-2.77, 2 Mg 2.84
Li4 0.2770 0.3704 0.5000  6 Li 2.69-2.73, 4 Rh 2.70-2.77, 2 Mg 2.84
Li5 0.4684 0.7446 0.0000  7 Li 2.67-2.74, 4 Rh 2.70-2.79, 1 Mg 2.79
Li6 0.5000 0.5000 0.0000  6 Li 2.67-2.69, 2 Mg 2.73, 4 Rh 2.80
Li7 0.5316 0.2554 0.0000  7 Li 2.67-2.74, 4 Rh 2.70-2.79, 1 Mg 2.79
Li8 0.7230 0.6296 0.5000  6 Li 2.69-2.73, 4 Rh 2.70-2.77, 2 Mg 2.84
Li9 0.7770 0.1296 0.5000  6 Li 2.69-2.73, 4 Rh 2.70-2.77, 2 Mg 2.84
Li10 0.9684 0.7554 0.0000  7 Li 2.67-2.74, 4 Rh 2.70-2.79, 1 Mg 2.79
Mg1 0.0000 0.5000 0.0000  4 Rh 2.66, 8 Li 2.73-2.84
Mg2 0.5000 0.0000 0.0000  4 Rh 2.66, 8 Li 2.73-2.84
Rh1 0.2237 0.6233 0.5000  2 Mg 2.66, 10 Li 2.70-2.80
Rh2 0.2763 0.1233 0.5000  2 Mg 2.66, 10 Li 2.70-2.80
Rh3 0.7237 0.8767 0.5000  2 Mg 2.66, 10 Li 2.70-2.80
Rh4 0.7763 0.3767 0.5000  2 Mg 2.66, 10 Li 2.70-2.80

## Properties
total magnetic moment = 0.00 μB/cell
ΔE_f = -124.0 meV per atom
space group = No. 55